Crystalline LaOsI2O at its relaxed geometry. Source: the Alexandria database, functional PBE.

Values from the calculation:
crystal system: tetragonal
formation energy from raw total energies: -204.8 kJ/mol of formula units
raw total energy: -5.27 eV per atom
magnetic moment: 0.002 μB/atom
Fermi-level density of states: 4.7 states/eV/cell

abc: 5.7649 5.7649 3.7925
angles: 90.00 90.00 90.00
Fractional positions:
La 0.0000 0.0000 0.0000
Os 0.5000 0.5000 0.5000
I 0.0000 0.5000 0.5000
I 0.5000 0.0000 0.5000
O 0.5000 0.5000 0.0000


Crystalline ZrTaAsBr2 at its relaxed geometry. Source: the Alexandria database, functional PBE.

Values from the calculation:
crystal system: tetragonal
formation energy from raw total energies: 257.7 kJ/mol of formula units
raw total energy: -5.15 eV per atom
magnetic moment: 0.000 μB/atom
Fermi-level density of states: 3.6 states/eV/cell

abc: 4.7959 4.7959 6.0125
angles: 90.00 90.00 90.00
Fractional positions:
Zr 0.0000 0.0000 0.0000
Ta 0.0000 0.0000 0.5000
As 0.5000 0.5000 0.0000
Br 0.0000 0.5000 0.5000
Br 0.5000 0.0000 0.5000


Crystalline PmThOsRu at its relaxed geometry. Source: the Alexandria database, functional PBE.

Values from the calculation:
crystal system: cubic
raw total energy: -8.33 eV per atom
magnetic moment: 0.000 μB/atom
Fermi-level density of states: 4.1 states/eV/cell

abc: 4.9912 4.9912 4.9912
angles: 60.00 60.00 60.00
Fractional positions:
Pm 0.0000 0.0000 0.0000
Th 0.5000 0.5000 0.5000
Os 0.2500 0.2500 0.2500
Ru 0.7500 0.7500 0.7500


Crystalline HfTaSbO6 at its relaxed geometry. Source: the Alexandria database, functional PBE.

Values from the calculation:
crystal system: trigonal
formation energy from raw total energies: -2228.3 kJ/mol of formula units
raw total energy: -8.75 eV per atom
magnetic moment: 0.000 μB/atom
Fermi-level density of states: 0.0 states/eV/cell

abc: 5.3994 5.3994 9.6493
angles: 90.00 90.00 120.00
Fractional positions:
Hf 0.3333 0.6667 0.2500
Hf 0.6667 0.3333 0.7500
Ta 0.3333 0.6667 0.7500
Ta 0.6667 0.3333 0.2500
Sb 0.0000 0.0000 0.0000
Sb 0.0000 0.0000 0.5000
O 0.0110 0.3640 0.6371
O 0.0110 0.6470 0.8629
O 0.3530 0.3640 0.8629
O 0.3530 0.9890 0.6371
O 0.3640 0.0110 0.1371
O 0.3640 0.3530 0.3629
O 0.6360 0.6470 0.6371
O 0.6360 0.9890 0.8629
O 0.6470 0.0110 0.3629
O 0.6470 0.6360 0.1371
O 0.9890 0.3530 0.1371
O 0.9890 0.6360 0.3629


Question: Which of these has the highest Fermi-level density of states?
Answer: LaOsI2O


Question: Look up the Fermi-level density of states of the second one.
Answer: 3.6 states/eV/cell


Question: What is the Fermi-level density of states in the fourth record?
Answer: 0.0 states/eV/cell